No. 1
The following is a DFT calculation (PBE) of a relaxed Tm5Co4Pt crystal. Values from VASP.

Summary:
The value obtained for the total energy is -6.1224 eV per atom. Its magnetic moment is 1.58 μB per cell.

```
&SYSTEM
  ibrav = 0, nat = 10, ntyp = 3
/
ATOMIC_SPECIES
Tm 168.93 Tm.upf
Co 58.93 Co.upf
Pt 195.08 Pt.upf
ATOMIC_POSITIONS angstrom
Tm 0.000 0.000 0.000
Tm 0.000 0.000 3.254
Tm 0.000 0.000 6.527
Tm 0.000 0.000 10.055
Tm 0.000 0.000 13.328
Co 1.665 1.665 1.637
Co 1.665 1.665 4.925
Co 1.665 1.665 11.657
Co 1.665 1.665 14.945
Pt 1.665 1.665 8.291
CELL_PARAMETERS angstrom
3.330 0.000 0.000
0.000 3.330 0.000
0.000 0.000 16.582
```



No. 2
The following is a DFT calculation (PBE) of a relaxed Tm7Co2Pt2 crystal. Values from VASP.

Summary:
The value obtained for the total energy is -5.6996 eV per atom. Its magnetic moment is 0.00 μB per cell.

```
&SYSTEM
  ibrav = 0, nat = 11, ntyp = 3
/
ATOMIC_SPECIES
Tm 168.93 Tm.upf
Co 58.93 Co.upf
Pt 195.08 Pt.upf
ATOMIC_POSITIONS angstrom
Tm 0.000 0.000 0.000
Tm 1.888 2.582 1.717
Tm 1.888 2.582 4.946
Tm 1.888 -2.582 1.717
Tm 1.888 -2.582 4.946
Tm 3.776 0.000 1.669
Tm 3.776 0.000 4.994
Co 3.776 2.190 0.000
Co 3.776 -2.190 0.000
Pt 1.436 0.000 3.331
Pt 6.115 0.000 3.331
CELL_PARAMETERS angstrom
3.776 -5.164 0.000
3.776 5.164 0.000
0.000 0.000 6.663
```



No. 3
The following is a DFT calculation (PBE) of a relaxed Tm4CoPt crystal. Values from VASP.

Summary:
The offset from the most stable computed form is 0.0 meV/atom. The value obtained for the total energy is -5.7481 eV per atom. Its magnetic moment is 0.00 μB per cell.

```
&SYSTEM
  ibrav = 0, nat = 12, ntyp = 3
/
ATOMIC_SPECIES
Tm 168.93 Tm.upf
Co 58.93 Co.upf
Pt 195.08 Pt.upf
ATOMIC_POSITIONS angstrom
Tm 0.290 4.159 4.595
Tm 0.177 0.784 3.662
Tm 3.482 4.159 3.038
Tm 1.822 -0.784 1.118
Tm 3.595 0.784 3.970
Tm 1.935 -4.159 2.050
Tm 5.240 -0.784 1.426
Tm 5.127 -4.159 0.494
Co 3.531 6.432 1.272
Co 1.886 -6.432 3.816
Pt 3.531 1.775 1.272
Pt 1.886 -1.775 3.816
CELL_PARAMETERS angstrom
4.354 -6.451 0.000
4.354 6.451 0.000
-3.291 0.000 5.088
```